No. 1
## RuSeBr2 (PBE-GGA)

Data for a geometry-optimized RuSeBr2 structure.

The calculation puts the density of states at the Fermi level at 3.65 states/eV per cell. The value obtained for the energy above the most stable polymorph in this dataset is 355.5 meV per atom. The total energy is -15.4 eV for the cell shown. The calculation puts the formation energy (no corrections) at 0.17 eV/atom. The calculated density comes out at 5.7 g/cm3.

The space group is P4mm (No. 99) and the conventional cell measures 3.058, 3.058 and 10.598 Å, with angles of 90.00, 90.00 and 90.00 degrees. The asymmetric unit holds Ru at (0.000, 0.000, 0.000), Se at (0.500, 0.500, 0.127), Br at (0.000, 0.000, 0.448) and Br at (0.500, 0.500, 0.816).

***

No. 2
## LiTbNd2 (PBE-GGA)

Data for a geometry-optimized LiTbNd2 structure.

The calculation puts the density of states at the Fermi level at 9.96 states/eV per cell. The value obtained for the energy above the most stable polymorph in this dataset is 8.8 meV per atom. The total energy is -47.4 eV for the cell shown. The energy of formation from the pure elements comes out at 71.6 meV/atom. The calculated density comes out at 5.9 g/cm3.

The space group is R3m (No. 160, hexagonal axes) and the conventional cell measures 3.5777, 3.5777 and 34.4118 Å, with angles of 90.00, 90.00 and 120.00 degrees. The asymmetric unit holds Li at (0.0000, 0.0000, 0.0000), Tb at (0.0000, 0.0000, 0.8331), Nd at (0.0000, 0.0000, 0.2513) and Nd at (0.0000, 0.0000, 0.4152).

***

No. 3
## MnPb2 (PBE-GGA)

Data for a geometry-optimized MnPb2 structure.

The calculation puts the density of states at the Fermi level at 3.78 states/eV per cell. The total energy is -31.2 eV for the cell shown. The energy of formation from the pure elements comes out at 325.5 meV/atom. The calculated density comes out at 10.1 g/cm3.

The space group is I4/mmm (No. 139) and the conventional cell measures 3.429, 3.429 and 13.099 Å, with angles of 90.00, 90.00 and 90.00 degrees. The asymmetric unit holds Mn at (0.000, 0.000, 0.000) and Pb at (0.000, 0.000, 0.360).

***

No. 4
## Ca3Sm3MnS8 (PBE-GGA)

Data for a geometry-optimized Ca3Sm3MnS8 structure.

The calculation puts the density of states at the Fermi level at 10.90 states/eV per cell. The total energy is -270.4 eV for the cell shown. The calculation puts the formation energy (no corrections) at -1.85 eV/atom. The calculated density comes out at 4.1 g/cm3.

The space group is R-3m (No. 166, hexagonal axes) and the conventional cell measures 7.9517, 7.9517 and 19.7359 Å, with angles of 90.00, 90.00 and 120.00 degrees. The asymmetric unit holds Ca at (0.0000, 0.5000, 0.0000), Sm at (0.0000, 0.5000, 0.5000), Mn at (0.0000, 0.0000, 0.5000), S at (0.0000, 0.0000, 0.2500) and S at (0.0157, 0.5079, 0.2446).

***

No. 5
## SrTlNiP2 (PBE-GGA)

Data for a geometry-optimized SrTlNiP2 structure.

The calculation puts the density of states at the Fermi level at 9.55 states/eV per cell. The total energy is -13.4 eV for the cell shown. The energy of formation from the pure elements comes out at 1456.1 meV/atom. The calculated density comes out at 3.8 g/cm3.

The space group is P4/mmm (No. 123) and the conventional cell measures 5.476, 5.476 and 6.053 Å, with angles of 90.00, 90.00 and 90.00 degrees. The asymmetric unit holds Sr at (0.000, 0.000, 0.000), Tl at (0.000, 0.000, 0.500), Ni at (0.500, 0.500, 0.500) and P at (0.000, 0.500, 0.000).

***

No. 6
## Dy3NpTe6 (PBE-GGA)

Data for a geometry-optimized Dy3NpTe6 structure.

The calculation puts the density of states at the Fermi level at 14.29 states/eV per cell. The total energy is -115.1 eV for the cell shown. The calculation puts the formation energy (no corrections) at -1.19 eV/atom. The calculated density comes out at 7.5 g/cm3.

The space group is P2_1/m (No. 11) and the conventional cell measures 12.496, 4.355 and 12.786 Å, with angles of 90.00, 109.37 and 90.00 degrees. The asymmetric unit holds Dy at (0.068, 0.250, 0.165), Dy at (0.182, 0.750, 0.502), Dy at (0.346, 0.250, 0.921), Np at (0.454, 0.250, 0.306), Te at (0.016, 0.250, 0.381), Te at (0.108, 0.250, 0.938), Te at (0.247, 0.750, 0.279), Te at (0.307, 0.750, 0.750), Te at (0.386, 0.250, 0.535) and Te at (0.416, 0.750, 0.102).

***

The highest total energy belongs to which entry?
SrTlNiP2